PrY2PuO8: relaxed, PBE.

Results
Energy: -0.331 hartree per atom
Magnetic moment: 1.024 Bohr magnetons per cell

Cell and atoms, written as CIF:
```
data_PrY2PuO8
_chemical_formula_sum 'Pr1 Y2 Pu1 O8'
_cell_length_a 5.142
_cell_length_b 7.122
_cell_length_c 5.145
_cell_angle_alpha 90.00
_cell_angle_beta 90.12
_cell_angle_gamma 90.00
_symmetry_space_group_name_H-M 'P 1 2/m 1'
_symmetry_Int_Tables_number 10
loop_
_symmetry_equiv_pos_as_xyz
'x,y,z'
'-x,-y,-z'
'-x,y,-z'
'x,-y,z'
loop_
_atom_site_label
_atom_site_type_symbol
_atom_site_fract_x
_atom_site_fract_y
_atom_site_fract_z
Pr1 Pr 0.000 0.000 0.000
Y1 Y 0.500 0.244 0.500
Pu1 Pu 0.000 0.500 0.000
O1 O 0.187 0.287 0.814
O2 O 0.277 0.500 0.278
O3 O 0.316 0.000 0.318
```

=====

PrPuZnO6: relaxed, PBE.

Results
Energy: -0.284 hartree per atom
Magnetic moment: 1.000 Bohr magnetons per cell

Cell and atoms, written as CIF:
```
data_PrPuZnO6
_chemical_formula_sum 'Pr1 Pu1 Zn1 O6'
_cell_length_a 5.7793
_cell_length_b 5.7793
_cell_length_c 4.5117
_cell_angle_alpha 90.00
_cell_angle_beta 90.00
_cell_angle_gamma 120.00
_symmetry_space_group_name_H-M 'P 3 1 2'
_symmetry_Int_Tables_number 149
loop_
_symmetry_equiv_pos_as_xyz
'x,y,z'
'-y,x-y,z'
'-x+y,-x,z'
'-y,-x,-z'
'-x+y,y,-z'
'x,x-y,-z'
loop_
_atom_site_label
_atom_site_type_symbol
_atom_site_fract_x
_atom_site_fract_y
_atom_site_fract_z
Pr1 Pr 0.0000 0.0000 0.0000
Pu1 Pu 0.3333 0.6667 0.0000
Zn1 Zn 0.6667 0.3333 0.5000
O1 O 0.0279 0.3779 0.2400
```

=====

RbPrO: relaxed, PBE.

Results
Energy: -0.165 hartree per atom
Magnetic moment: 0.635 Bohr magnetons per cell

Cell and atoms, written as CIF:
```
data_RbPrO
_chemical_formula_sum 'Rb4 Pr4 O4'
_cell_length_a 15.530
_cell_length_b 3.613
_cell_length_c 6.246
_cell_angle_alpha 90.00
_cell_angle_beta 90.00
_cell_angle_gamma 90.00
_symmetry_space_group_name_H-M 'A m m 2'
_symmetry_Int_Tables_number 38
loop_
_symmetry_equiv_pos_as_xyz
'x,y,z'
'-x,-y,z'
'-x,y,z'
'x,-y,z'
'x,y+1/2,z+1/2'
'-x,-y+1/2,z+1/2'
'-x,y+1/2,z+1/2'
'x,-y+1/2,z+1/2'
loop_
_atom_site_label
_atom_site_type_symbol
_atom_site_fract_x
_atom_site_fract_y
_atom_site_fract_z
Rb1 Rb 0.107 0.000 0.000
Pr1 Pr 0.395 0.000 0.444
O1 O 0.000 0.000 0.334
O2 O 0.500 0.000 0.111
```

=====

Rb3Pr2O4: relaxed, PBE.

Results
Energy: -0.205 hartree per atom
Magnetic moment: 0.414 Bohr magnetons per cell

Cell and atoms, written as CIF:
```
data_Rb3Pr2O4
_chemical_formula_sum 'Rb6 Pr4 O8'
_cell_length_a 13.431
_cell_length_b 3.989
_cell_length_c 10.408
_cell_angle_alpha 90.00
_cell_angle_beta 124.32
_cell_angle_gamma 90.00
_symmetry_space_group_name_H-M 'C 1 2/m 1'
_symmetry_Int_Tables_number 12
loop_
_symmetry_equiv_pos_as_xyz
'x,y,z'
'-x,-y,-z'
'-x,y,-z'
'x,-y,z'
'x+1/2,y+1/2,z'
'-x+1/2,-y+1/2,-z'
'-x+1/2,y+1/2,-z'
'x+1/2,-y+1/2,z'
loop_
_atom_site_label
_atom_site_type_symbol
_atom_site_fract_x
_atom_site_fract_y
_atom_site_fract_z
Rb1 Rb 0.000 0.000 0.000
Rb2 Rb 0.206 0.000 0.825
Pr1 Pr 0.107 0.500 0.373
O1 O 0.069 0.500 0.852
O2 O 0.187 0.000 0.355
```

=====

RbPr2O3: relaxed, PBE.

Results
Energy: -0.249 hartree per atom
Magnetic moment: 0.000 Bohr magnetons per cell

Cell and atoms, written as CIF:
```
data_RbPr2O3
_chemical_formula_sum 'Rb2 Pr4 O6'
_cell_length_a 3.6564
_cell_length_b 3.6564
_cell_length_c 19.2175
_cell_angle_alpha 90.00
_cell_angle_beta 90.00
_cell_angle_gamma 120.00
_symmetry_space_group_name_H-M 'P 63/m m c'
_symmetry_Int_Tables_number 194
_symmetry_space_group_name_Hall '-P 6c 2c'
loop_
_atom_site_label
_atom_site_type_symbol
_atom_site_fract_x
_atom_site_fract_y
_atom_site_fract_z
Rb1 Rb 0.0000 0.0000 0.2500
Pr1 Pr 0.3333 0.6667 0.0780
O1 O 0.0000 0.0000 0.0000
O2 O 0.3333 0.6667 0.6413
```

=====

RbPrO2: relaxed, PBE.

Results
Energy: -0.235 hartree per atom
Magnetic moment: 0.000 Bohr magnetons per cell

Cell and atoms, written as CIF:
```
data_RbPrO2
_chemical_formula_sum 'Rb3 Pr3 O6'
_cell_length_a 3.6851
_cell_length_b 3.6851
_cell_length_c 20.2402
_cell_angle_alpha 90.00
_cell_angle_beta 90.00
_cell_angle_gamma 120.00
_symmetry_space_group_name_H-M 'R 3 m'
_symmetry_Int_Tables_number 160
_symmetry_space_group_name_Hall 'R 3 -2"'
loop_
_atom_site_label
_atom_site_type_symbol
_atom_site_fract_x
_atom_site_fract_y
_atom_site_fract_z
Rb1 Rb 0.0000 0.0000 0.0000
Pr1 Pr 0.0000 0.0000 0.8294
O1 O 0.0000 0.0000 0.2216
O2 O 0.0000 0.0000 0.4344
```

=====

RbPrO2: relaxed, PBE.

Results
Energy: -0.237 hartree per atom
Magnetic moment: 0.000 Bohr magnetons per cell

Cell and atoms, written as CIF:
```
data_RbPrO2
_chemical_formula_sum 'Rb3 Pr3 O6'
_cell_length_a 3.7042
_cell_length_b 3.7042
_cell_length_c 19.8766
_cell_angle_alpha 90.00
_cell_angle_beta 90.00
_cell_angle_gamma 120.00
_symmetry_space_group_name_H-M 'R -3 m'
_symmetry_Int_Tables_number 166
_symmetry_space_group_name_Hall '-R 3 2"'
loop_
_atom_site_label
_atom_site_type_symbol
_atom_site_fract_x
_atom_site_fract_y
_atom_site_fract_z
Rb1 Rb 0.0000 0.0000 0.0000
Pr1 Pr 0.0000 0.0000 0.5000
O1 O 0.0000 0.0000 0.2274
```

=====

Rb2PrReO6: relaxed, PBE.

Results
Energy: -0.258 hartree per atom
Magnetic moment: 0.000 Bohr magnetons per cell

Cell and atoms, written as CIF:
```
data_Rb2PrReO6
_chemical_formula_sum 'Rb8 Pr4 Re4 O24'
_cell_length_a 8.629
_cell_length_b 8.629
_cell_length_c 8.629
_cell_angle_alpha 90.00
_cell_angle_beta 90.00
_cell_angle_gamma 90.00
_symmetry_space_group_name_H-M 'F m -3 m'
_symmetry_Int_Tables_number 225
_symmetry_space_group_name_Hall '-F 4 2 3'
loop_
_atom_site_label
_atom_site_type_symbol
_atom_site_fract_x
_atom_site_fract_y
_atom_site_fract_z
Rb1 Rb 0.250 0.250 0.250
Pr1 Pr 0.000 0.000 0.000
Re1 Re 0.000 0.000 0.500
O1 O 0.000 0.000 0.279
```

=====

Rb2PrRe3O12: relaxed, PBE.

Results
Energy: -0.281 hartree per atom
Magnetic moment: 2.605 Bohr magnetons per cell

Cell and atoms, written as CIF:
```
data_Rb2PrRe3O12
_chemical_formula_sum 'Rb6 Pr3 Re9 O36'
_cell_length_a 7.4498
_cell_length_b 7.4498
_cell_length_c 18.8919
_cell_angle_alpha 90.00
_cell_angle_beta 90.00
_cell_angle_gamma 120.00
_symmetry_space_group_name_H-M 'R -3 m'
_symmetry_Int_Tables_number 166
_symmetry_space_group_name_Hall '-R 3 2"'
loop_
_atom_site_label
_atom_site_type_symbol
_atom_site_fract_x
_atom_site_fract_y
_atom_site_fract_z
Rb1 Rb 0.0000 0.0000 0.1194
Pr1 Pr 0.0000 0.0000 0.5000
Re1 Re 0.0000 0.5000 0.0000
O1 O 0.0234 0.5117 0.0981
O2 O 0.0860 0.5430 0.3391
```

=====

RbPr2RhO5: relaxed, PBE.

Results
Energy: -0.253 hartree per atom
Magnetic moment: 0.000 Bohr magnetons per cell

Cell and atoms, written as CIF:
```
data_RbPr2RhO5
_chemical_formula_sum 'Rb4 Pr8 Rh4 O20'
_cell_length_a 6.898
_cell_length_b 6.898
_cell_length_c 12.079
_cell_angle_alpha 90.00
_cell_angle_beta 90.00
_cell_angle_gamma 90.00
_symmetry_space_group_name_H-M 'I 4/m c m'
_symmetry_Int_Tables_number 140
_symmetry_space_group_name_Hall '-I 4 2c'
loop_
_atom_site_label
_atom_site_type_symbol
_atom_site_fract_x
_atom_site_fract_y
_atom_site_fract_z
Rb1 Rb 0.000 0.000 0.250
Pr1 Pr 0.178 0.322 0.000
Rh1 Rh 0.000 0.500 0.250
O1 O 0.000 0.000 0.000
O2 O 0.125 0.375 0.378
```

=====

Rb2Pr2RhO6: relaxed, PBE.

Results
Energy: -0.235 hartree per atom
Magnetic moment: 2.113 Bohr magnetons per cell

Cell and atoms, written as CIF:
```
data_Rb2Pr2RhO6
_chemical_formula_sum 'Rb4 Pr4 Rh2 O12'
_cell_length_a 6.073
_cell_length_b 10.383
_cell_length_c 6.905
_cell_angle_alpha 90.00
_cell_angle_beta 104.40
_cell_angle_gamma 90.00
_symmetry_space_group_name_H-M 'C 1 2/m 1'
_symmetry_Int_Tables_number 12
loop_
_symmetry_equiv_pos_as_xyz
'x,y,z'
'-x,-y,-z'
'-x,y,-z'
'x,-y,z'
'x+1/2,y+1/2,z'
'-x+1/2,-y+1/2,-z'
'-x+1/2,y+1/2,-z'
'x+1/2,-y+1/2,z'
loop_
_atom_site_label
_atom_site_type_symbol
_atom_site_fract_x
_atom_site_fract_y
_atom_site_fract_z
Rb1 Rb 0.000 0.159 0.000
Pr1 Pr 0.000 0.336 0.500
Rh1 Rh 0.000 0.000 0.500
O1 O 0.195 0.150 0.666
O2 O 0.239 0.000 0.329
```

=====

Rb3Pr2RhO6: relaxed, PBE.

Results
Energy: -0.222 hartree per atom
Magnetic moment: 0.000 Bohr magnetons per cell

Cell and atoms, written as CIF:
```
data_Rb3Pr2RhO6
_chemical_formula_sum 'Rb6 Pr4 Rh2 O12'
_cell_length_a 6.115
_cell_length_b 10.580
_cell_length_c 6.854
_cell_angle_alpha 90.00
_cell_angle_beta 107.12
_cell_angle_gamma 90.00
_symmetry_space_group_name_H-M 'C 1 2/m 1'
_symmetry_Int_Tables_number 12
loop_
_symmetry_equiv_pos_as_xyz
'x,y,z'
'-x,-y,-z'
'-x,y,-z'
'x,-y,z'
'x+1/2,y+1/2,z'
'-x+1/2,-y+1/2,-z'
'-x+1/2,y+1/2,-z'
'x+1/2,-y+1/2,z'
loop_
_atom_site_label
_atom_site_type_symbol
_atom_site_fract_x
_atom_site_fract_y
_atom_site_fract_z
Rb1 Rb 0.000 0.000 0.000
Rb2 Rb 0.000 0.339 0.000
Pr1 Pr 0.000 0.167 0.500
Rh1 Rh 0.000 0.500 0.500
O1 O 0.214 0.346 0.680
O2 O 0.248 0.500 0.320
```

=====

Per-record energy relative to the elements, uncorrected, eV/f.u.: -36.3; -19.5; -2.7; -17.9; -15.3; -10.0; -10.1; -21.4; -34.0; -19.3; -21.7; -22.9